LaGe2MoO8 | PBE with a Hubbard U | relaxed

Calculated values
symmetry	I-4m2 (119)
Fermi-level density of states	0.000	states/eV/cell
M_tot	0.998	μB/f.u.
energy	-6.9509	eV per atom

Cell: 5.918 5.918 5.918 Å, 106.29 106.29 116.04°
Positions (direct):
La 0.000 0.000 0.000
Ge 0.250 0.750 0.500
Ge 0.500 0.500 0.000
Mo 0.750 0.250 0.500
O 0.039 0.372 0.334
O 0.039 0.705 0.666
O 0.127 0.325 0.802
O 0.295 0.961 0.334
O 0.523 0.325 0.198
O 0.628 0.961 0.666
O 0.675 0.477 0.802
O 0.675 0.873 0.198